Record 1
Compound: ScAgO3
Source: Alexandria via LeMat-Bulk
Functional: SCAN
Structure: PBEsol geometry

a b c (Å): 6.377 6.377 3.166
angles (deg): 90.00 90.00 103.47
Fractional positions:
Sc 0.000 0.500 0.000
Sc 0.500 0.000 0.000
Ag 0.000 0.000 0.500
Ag 0.500 0.500 0.500
O 0.134 0.866 0.000
O 0.189 0.464 0.500
O 0.464 0.189 0.500
O 0.536 0.811 0.500
O 0.811 0.536 0.500
O 0.866 0.134 0.000

Total magnetic moment, μB/f.u.: 0.00
Calculated volume, A^3/atom: 12.5
Energy relative to the elements, uncorrected, eV/atom: -1.936
Calculated total energy, eV per atom: -14.80

=====

Record 2
Compound: ScAgO2
Source: Alexandria via LeMat-Bulk
Functional: SCAN
Structure: PBEsol geometry

a b c (Å): 3.195 3.195 12.278
angles (deg): 90.00 90.00 120.00
Fractional positions:
Sc 0.000 0.000 0.000
Sc 0.000 0.000 0.500
Ag 0.333 0.667 0.250
Ag 0.667 0.333 0.750
O 0.333 0.667 0.083
O 0.333 0.667 0.417
O 0.667 0.333 0.583
O 0.667 0.333 0.917

Total magnetic moment, μB/f.u.: 0.00
Calculated volume, A^3/atom: 13.6
Energy relative to the elements, uncorrected, eV/atom: -2.523
Calculated total energy, eV per atom: -17.04

=====

Record 3
Compound: ScAgO2
Source: Alexandria via LeMat-Bulk
Functional: SCAN
Structure: PBEsol geometry

a b c (Å): 6.412 6.412 6.412
angles (deg): 28.86 28.86 28.86
Fractional positions:
Sc 0.000 0.000 0.000
Ag 0.500 0.500 0.500
O 0.389 0.389 0.389
O 0.611 0.611 0.611

Total magnetic moment, μB/f.u.: 0.00
Calculated volume, A^3/atom: 13.6
Energy relative to the elements, uncorrected, eV/atom: -2.524
Calculated total energy, eV per atom: -17.04

=====

Record 4
Compound: ScAg3O
Source: Alexandria via LeMat-Bulk
Functional: SCAN
Structure: PBEsol geometry

a b c (Å): 5.082 5.082 5.082
angles (deg): 90.00 90.00 90.00
Fractional positions:
Sc 0.000 0.000 0.000
Ag 0.000 0.000 0.500
Ag 0.000 0.500 0.000
Ag 0.500 0.000 0.000
O 0.500 0.500 0.500

Total magnetic moment, μB/f.u.: 2.14
Calculated volume, A^3/atom: 26.2
Energy relative to the elements, uncorrected, eV/atom: 1.482
Calculated total energy, eV per atom: -21.43

=====

Record 5
Compound: Sc2AgSeO
Source: Alexandria via LeMat-Bulk
Functional: SCAN
Structure: PBEsol geometry

a b c (Å): 5.102 5.102 3.897
angles (deg): 90.00 90.00 90.00
Fractional positions:
Sc 0.000 0.500 0.000
Sc 0.500 0.000 0.000
Ag 0.000 0.000 0.000
Se 0.500 0.500 0.500
O 0.000 0.000 0.500

Total magnetic moment, μB/f.u.: 0.00
Calculated volume, A^3/atom: 20.3
Energy relative to the elements, uncorrected, eV/atom: -0.270
Calculated total energy, eV per atom: -17.50

=====

Record 6
Compound: ScTiAgO2
Source: Alexandria via LeMat-Bulk
Functional: SCAN
Structure: PBEsol geometry

a b c (Å): 3.818 3.818 5.830
angles (deg): 90.00 90.00 90.00
Fractional positions:
Sc 0.000 0.000 0.000
Ti 0.000 0.000 0.500
Ag 0.500 0.500 0.000
O 0.000 0.500 0.500
O 0.500 0.000 0.500

Total magnetic moment, μB/f.u.: 0.00
Calculated volume, A^3/atom: 17.0
Energy relative to the elements, uncorrected, eV/atom: -1.094
Calculated total energy, eV per atom: -15.91

=====

Record 7
Compound: Ag2SeO4
Source: Alexandria via LeMat-Bulk
Functional: SCAN
Structure: PBEsol geometry

a b c (Å): 8.438 6.898 6.326
angles (deg): 79.17 53.42 47.42
Fractional positions:
Ag 0.078 0.672 0.078
Ag 0.328 0.922 0.328
Ag 0.672 0.078 0.672
Ag 0.922 0.328 0.922
Se 0.375 0.375 0.375
Se 0.625 0.625 0.625
O 0.199 0.705 0.372
O 0.224 0.372 0.705
O 0.295 0.801 0.776
O 0.372 0.224 0.199
O 0.628 0.776 0.801
O 0.705 0.199 0.224
O 0.776 0.628 0.295
O 0.801 0.295 0.628

Total magnetic moment, μB/f.u.: 0.00
Calculated volume, A^3/atom: 14.5
Energy relative to the elements, uncorrected, eV/atom: -0.548
Calculated total energy, eV per atom: -15.94

=====

Record 8
Compound: AgTe2SeO
Source: Alexandria via LeMat-Bulk
Functional: SCAN
Structure: PBEsol geometry

a b c (Å): 5.319 5.319 4.918
angles (deg): 90.00 90.00 90.00
Fractional positions:
Ag 0.000 0.000 0.000
Te 0.000 0.500 0.000
Te 0.500 0.000 0.000
Se 0.000 0.000 0.500
O 0.500 0.500 0.500

Total magnetic moment, μB/f.u.: 2.74
Calculated volume, A^3/atom: 27.8
Energy relative to the elements, uncorrected, eV/atom: 1.042
Calculated total energy, eV per atom: -25.39

=====

> Which value of energy relative to the elements, uncorrected does entry 2 give?

-2.523 eV/atom

=====

> calculated volume of number 5 (Sc2AgSeO)?

20.3 A^3/atom